Record 1
A plane-wave DFT calculation with PBE-GGA was carried out for a relaxed LaYAu2 crystal.

```
LaYAu2
1.0
4.328 0.000 0.000
0.000 4.328 0.000
0.000 0.000 6.083
Au La Y
2 1 1
Direct
0.000 0.000 0.875
0.500 0.500 0.374
0.000 0.000 0.376
0.500 0.500 0.874
```

Computed properties:
Crystal system: tetragonal

***

Record 2
A plane-wave DFT calculation with PBE-GGA was carried out for a relaxed LaY3Au crystal.

```
LaY3Au
1.0
5.546 0.000 0.000
0.000 5.546 0.000
0.000 0.000 5.546
Y Au La
3 1 1
Direct
0.000 0.500 0.000
0.000 0.000 0.500
0.500 0.000 0.000
0.500 0.500 0.500
0.000 0.000 0.000
```

Computed properties:
ΔE to the lowest computed polymorph: 23.178 kcal/mol of atoms
Crystal system: cubic

***

Record 3
A plane-wave DFT calculation with PBE-GGA was carried out for a relaxed La2YAu crystal.

```
La2YAu
1.0
-8.715 -2.120 -0.447
1.436 -7.036 5.392
-4.224 -2.720 5.053
Y Au La
2 2 4
Direct
0.500 0.500 0.000
0.250 0.750 0.500
0.000 0.000 0.000
0.750 0.250 0.500
0.677 0.125 0.250
0.073 0.625 0.250
0.375 0.323 0.750
0.875 0.927 0.750
```

Computed properties:
ΔE to the lowest computed polymorph: 4.336 kcal/mol of atoms
Crystal system: tetragonal

***

Record 4
A plane-wave DFT calculation with PBE-GGA was carried out for a relaxed LaY2Au crystal.

```
LaY2Au
1.0
-0.193 1.287 -3.408
-3.185 -1.718 -0.467
-4.240 7.070 2.910
Y Au La
2 1 1
Direct
0.000 0.000 0.052
0.000 0.000 0.448
0.500 0.500 0.250
0.500 0.500 0.750
```

Computed properties:
ΔE to the lowest computed polymorph: 0.668 kcal/mol of atoms
Crystal system: tetragonal

***

Record 5
A plane-wave DFT calculation with PBE-GGA was carried out for a relaxed LaY5Au6 crystal.

```
LaY5Au6
1.0
-1.197 -2.349 -4.426
6.039 -3.955 0.466
-3.272 -4.271 6.168
Y Au La
5 6 1
Direct
0.664 0.500 0.331
0.333 0.000 0.664
0.000 0.500 0.000
0.667 0.000 0.336
0.336 0.500 0.669
0.830 0.745 0.656
0.830 0.255 0.656
0.500 0.263 0.000
0.500 0.737 0.000
0.170 0.745 0.344
0.170 0.255 0.344
0.000 0.000 0.000
```

Computed properties:
Crystal system: monoclinic

***

Record 6
A plane-wave DFT calculation with PBE-GGA was carried out for a relaxed LaY2Au2 crystal.

```
LaY2Au2
1.0
4.921 0.000 0.000
0.000 4.921 0.000
2.461 2.461 5.878
Y Au La
2 2 1
Direct
0.750 0.250 0.500
0.250 0.750 0.500
0.385 0.385 0.231
0.615 0.615 0.769
0.000 0.000 0.000
```

Computed properties:
ΔE to the lowest computed polymorph: 2.400 kcal/mol of atoms
Crystal system: tetragonal

***

Record 7
A plane-wave DFT calculation with PBE-GGA was carried out for a relaxed LaYAu2 crystal.

```
LaYAu2
1.0
7.819 0.000 0.000
0.000 7.819 0.000
3.910 3.910 3.874
Y Au La
2 4 2
Direct
0.500 0.500 0.000
0.250 0.750 0.500
0.610 0.125 0.250
0.140 0.625 0.250
0.375 0.390 0.750
0.875 0.860 0.750
0.000 0.000 0.000
0.750 0.250 0.500
```

Computed properties:
Crystal system: tetragonal

***

Record 8
A plane-wave DFT calculation with PBE-GGA was carried out for a relaxed La2YAu crystal.

```
La2YAu
1.0
-0.721 4.654 0.077
-0.563 -0.150 3.839
6.096 0.897 2.831
Au La Y
1 2 1
Direct
0.500 0.946 0.706
0.000 0.834 0.018
0.500 0.195 0.212
0.000 0.526 0.564
```

Computed properties:
ΔE to the lowest computed polymorph: 2.497 kcal/mol of atoms
Crystal system: monoclinic

***

Record 9
A plane-wave DFT calculation with PBE-GGA was carried out for a relaxed LaYbAu2 crystal.

```
LaYbAu2
1.0
-1.991 4.537 -1.633
-3.981 0.039 -3.371
-4.743 1.488 1.582
Yb Au La
1 2 1
Direct
0.250 0.250 0.250
0.500 0.500 0.500
0.000 0.000 0.000
0.750 0.750 0.750
```

Computed properties:
Crystal system: cubic

***

Record 10
A plane-wave DFT calculation with PBE-GGA was carried out for a relaxed La6Zn5Au crystal.

```
La6Zn5Au
1.0
5.238 -0.339 0.864
-0.021 6.983 2.863
1.235 0.329 9.154
Zn Au La
5 1 6
Direct
0.674 0.174 0.651
0.333 0.332 0.336
0.000 0.500 0.000
0.667 0.668 0.664
0.326 0.826 0.349
0.000 0.000 0.000
0.834 0.585 0.332
0.834 0.083 0.332
0.500 0.750 0.000
0.500 0.250 0.000
0.166 0.917 0.668
0.166 0.415 0.668
```

Computed properties:
Crystal system: monoclinic

***

Record 11
A plane-wave DFT calculation with PBE-GGA was carried out for a relaxed LaZn9Au3 crystal.

```
LaZn9Au3
1.0
-0.483 2.489 4.789
-3.127 -4.000 4.966
5.525 -1.056 4.172
La Zn Au
1 9 3
Direct
0.000 0.000 0.000
0.727 0.778 0.783
0.273 0.222 0.217
0.489 0.222 0.783
0.511 0.778 0.217
0.644 0.360 0.358
0.356 0.640 0.642
0.998 0.640 0.358
0.002 0.360 0.642
0.000 0.500 0.000
0.500 0.500 0.000
0.000 0.000 0.500
0.500 0.000 0.500
```

Computed properties:
Crystal system: monoclinic

***

Record 12
A plane-wave DFT calculation with PBE-GGA was carried out for a relaxed LaZnAu crystal.

```
LaZnAu
1.0
5.645 -0.054 0.060
4.423 3.508 0.059
1.222 0.420 3.537
Au La Zn
1 1 1
Direct
0.017 0.017 0.983
0.335 0.335 0.665
0.648 0.648 0.352
```

Computed properties:
Crystal system: tetragonal

***

Record 13
A plane-wave DFT calculation with PBE-GGA was carried out for a relaxed La2Zn3Au4 crystal.

```
La2Zn3Au4
1.0
6.032 0.000 0.000
0.000 7.986 0.000
-3.016 0.000 7.946
La Zn Au
4 6 8
Direct
0.118 0.582 0.235
0.882 0.418 0.765
0.382 0.082 0.765
0.618 0.918 0.235
0.000 0.000 0.000
0.500 0.500 0.000
0.530 0.750 0.561
0.970 0.250 0.439
0.470 0.250 0.439
0.030 0.750 0.561
0.702 0.750 0.904
0.798 0.250 0.096
0.298 0.250 0.096
0.202 0.750 0.904
0.184 0.969 0.369
0.816 0.031 0.631
0.316 0.469 0.631
0.684 0.531 0.369
```

Computed properties:
Crystal system: orthorhombic

***

Record 14
A plane-wave DFT calculation with PBE-GGA was carried out for a relaxed La2ZnAu6 crystal.

```
La2ZnAu6
1.0
-5.352 -0.969 1.288
1.836 -3.159 5.273
0.756 3.151 5.536
La Zn Au
2 1 6
Direct
0.822 0.666 0.666
0.178 0.334 0.334
0.000 0.000 0.000
0.309 0.359 0.821
0.308 0.820 0.820
0.309 0.821 0.359
0.691 0.641 0.179
0.692 0.180 0.180
0.691 0.179 0.641
```

Computed properties:
Crystal system: monoclinic

***

Record 15
A plane-wave DFT calculation with PBE-GGA was carried out for a relaxed La2ZnAu7 crystal.

```
La2ZnAu7
1.0
-2.157 -3.445 -0.376
3.115 -1.733 -1.990
4.974 -4.382 11.603
La Zn Au
2 1 7
Direct
0.500 0.000 0.749
0.000 0.500 0.251
0.500 0.500 0.000
0.000 0.500 0.857
0.500 0.000 0.351
0.500 0.000 0.143
0.000 0.500 0.649
0.000 0.000 0.500
0.000 0.000 0.000
0.500 0.500 0.500
```

Computed properties:
Crystal system: tetragonal

***

Record 16
A plane-wave DFT calculation with PBE-GGA was carried out for a relaxed LaZnAu crystal.

```
LaZnAu
1.0
4.645 0.000 0.000
-2.323 4.023 0.000
0.000 0.000 3.812
Zn Au La
1 1 1
Direct
0.667 0.333 0.833
0.000 0.000 0.833
0.333 0.667 0.333
```

Computed properties:
Crystal system: hexagonal

***

Record 17
A plane-wave DFT calculation with PBE-GGA was carried out for a relaxed La4Zn2Au crystal.

```
La4Zn2Au
1.0
5.049 0.000 1.577
2.278 4.506 1.577
-0.068 -0.042 9.086
La Zn Au
4 2 1
Direct
0.874 0.874 0.379
0.126 0.126 0.621
0.623 0.623 0.132
0.377 0.377 0.868
0.752 0.752 0.743
0.248 0.248 0.257
0.000 0.000 0.000
```

Computed properties:
Crystal system: trigonal

***

Record 18
A plane-wave DFT calculation with PBE-GGA was carried out for a relaxed La3Zn2Au7 crystal.

```
La3Zn2Au7
1.0
4.361 0.000 0.000
0.000 4.361 0.000
-2.180 -2.180 14.477
La Zn Au
3 2 7
Direct
0.327 0.327 0.654
0.673 0.673 0.346
0.500 0.500 0.000
0.130 0.130 0.261
0.870 0.870 0.739
0.000 0.000 0.000
0.919 0.419 0.838
0.419 0.919 0.838
0.081 0.581 0.162
0.581 0.081 0.162
0.221 0.221 0.441
0.779 0.779 0.559
```

Computed properties:
Crystal system: tetragonal

***

Record 19
A plane-wave DFT calculation with PBE-GGA was carried out for a relaxed LaZnAu crystal.

```
LaZnAu
1.0
-0.910 3.047 -3.440
-1.374 -2.569 -5.102
-5.896 1.097 -0.658
La Zn Au
2 2 2
Direct
0.528 0.228 0.716
0.472 0.772 0.284
0.840 0.202 0.118
0.160 0.798 0.882
0.177 0.354 0.292
0.823 0.646 0.708
```

Computed properties:
Crystal system: monoclinic

***

Record 20
A plane-wave DFT calculation with PBE-GGA was carried out for a relaxed La2Zn7Au crystal.

```
La2Zn7Au
1.0
-0.762 4.327 -0.254
-1.581 -0.038 4.107
9.555 1.900 3.696
La Zn Au
2 7 1
Direct
0.500 0.000 0.747
0.000 0.500 0.253
0.000 0.500 0.863
0.500 0.000 0.374
0.500 0.000 0.137
0.000 0.500 0.626
0.000 0.000 0.500
0.000 0.000 0.000
0.500 0.500 0.500
0.500 0.500 0.000
```

Computed properties:
Crystal system: tetragonal

***

Record 21
A plane-wave DFT calculation with PBE-GGA was carried out for a relaxed La2Zn3Au6 crystal.

```
La2Zn3Au6
1.0
-3.958 0.953 -0.018
-1.340 -5.666 -5.298
-0.828 -3.305 7.096
La Zn Au
2 3 6
Direct
0.000 0.327 0.673
0.000 0.673 0.327
0.000 0.175 0.175
0.000 0.825 0.825
0.500 0.000 0.000
0.500 0.357 0.357
0.500 0.643 0.643
0.500 0.984 0.324
0.500 0.016 0.676
0.500 0.324 0.984
0.500 0.676 0.016
```

Computed properties:
Crystal system: orthorhombic

***

Record 22
A plane-wave DFT calculation with PBE-GGA was carried out for a relaxed LaZn4Au2 crystal.

```
LaZn4Au2
1.0
4.320 0.000 0.000
0.000 4.347 0.000
0.000 -2.173 7.284
La Zn Au
1 4 2
Direct
0.000 0.000 0.000
0.500 0.805 0.611
0.000 0.697 0.394
0.500 0.195 0.389
0.000 0.303 0.606
0.500 0.593 0.187
0.500 0.407 0.813
```

Computed properties:
ΔE to the lowest computed polymorph: 0.832 kcal/mol of atoms
Crystal system: orthorhombic

***

Record 23
A plane-wave DFT calculation with PBE-GGA was carried out for a relaxed LaZnAu2 crystal.

```
LaZnAu2
1.0
-3.804 1.537 -4.061
-0.065 -6.901 -2.551
-6.160 -1.820 5.081
La Zn Au
4 4 8
Direct
0.355 0.250 0.049
0.855 0.750 0.451
0.645 0.750 0.951
0.145 0.250 0.549
0.639 0.250 0.389
0.139 0.750 0.111
0.361 0.750 0.611
0.861 0.250 0.889
0.897 0.054 0.182
0.397 0.946 0.318
0.103 0.554 0.818
0.603 0.446 0.682
0.103 0.946 0.818
0.603 0.054 0.682
0.897 0.446 0.182
0.397 0.554 0.318
```

Computed properties:
Crystal system: orthorhombic

***

Record 24
A plane-wave DFT calculation with PBE-GGA was carried out for a relaxed La2Zn15Au2 crystal.

```
La2Zn15Au2
1.0
-1.472 -6.255 -2.635
5.345 -3.426 2.817
-3.375 -2.515 5.525
La Zn Au
2 15 2
Direct
0.341 0.341 0.341
0.659 0.659 0.659
0.500 0.000 0.000
0.000 0.000 0.500
0.000 0.500 0.000
0.000 0.710 0.290
0.710 0.290 0.000
0.290 0.000 0.710
0.290 0.710 0.000
0.710 0.000 0.290
0.000 0.290 0.710
0.162 0.650 0.650
0.650 0.650 0.162
0.650 0.162 0.650
0.838 0.350 0.350
0.350 0.350 0.838
0.350 0.838 0.350
0.109 0.109 0.109
0.891 0.891 0.891
```

Computed properties:
Crystal system: trigonal

***

no.,energy of formation (meV/atom),ρ (kg/m3)
1,-708,9062
2,865,5864
3,-205,7181
4,-405,7330
5,-838,10131
6,-563,8290
7,-483,8717
8,-285,7855
9,-905,11678
10,-389,7018
11,-251,9606
12,-494,9441
13,-578,10949
14,-622,12721
15,-528,12838
16,-665,9355
17,-310,7074
18,-570,11618
19,-655,9549
20,-373,7673
21,-484,11376
22,-398,9645
23,-654,11423
24,-306,8381